# 1
Computed, not measured: crystalline Y5Th at its relaxed geometry at the PBE level of DFT.

The calculation puts the total magnetization at 0.0000 μB/atom. The calculation puts the energy above the most stable polymorph in this dataset at 0.34 kJ/mol of atoms. The formation energy comes out at 0.0261 eV per atom. The calculation puts the total DFT energy (no corrections) at -6.597 eV per atom.

The space group is P4/mmm (No. 123) and the conventional cell measures 3.572, 3.572 and 15.245 Å, with angles of 90.00, 90.00 and 90.00 degrees. Symmetry generates all atoms from Y at (0.000, 0.000, 0.000), Y at (0.000, 0.000, 0.338), Y at (0.500, 0.500, 0.166) and Th at (0.500, 0.500, 0.500).

# 2
Computed, not measured: crystalline Y8Th3 at its relaxed geometry at the PBE level of DFT.

The calculation puts the total magnetization at 0.0001 μB/atom. The calculation puts the energy above the most stable polymorph in this dataset at 0.00 kJ/mol of atoms. The formation energy comes out at 0.4887 eV per atom. The calculation puts the total DFT energy (no corrections) at -6.236 eV per atom.

The space group is R-3 (No. 148, hexagonal axes) and the conventional cell measures 12.7134, 12.7134 and 8.2293 Å, with angles of 90.00, 90.00 and 120.00 degrees. Symmetry generates all atoms from Y at (0.0000, 0.0000, 0.2421), Y at (0.0515, 0.2672, 0.4546) and Th at (0.0000, 0.5000, 0.5000).

# 3
Computed, not measured: crystalline YTh2 at its relaxed geometry at the PBE level of DFT.

The calculation puts the total magnetization at 0.0000 μB/atom. The calculation puts the energy above the most stable polymorph in this dataset at 0.00 kJ/mol of atoms. The formation energy comes out at 0.0240 eV per atom. The calculation puts the total DFT energy (no corrections) at -7.077 eV per atom.

The space group is P-3m1 (No. 164) and the conventional cell measures 3.5811, 3.5811 and 8.7375 Å, with angles of 90.00, 90.00 and 120.00 degrees. Symmetry generates all atoms from Y at (0.0000, 0.0000, 0.0000) and Th at (0.3333, 0.6667, 0.3382).

# 4
Computed, not measured: crystalline Y4Th3 at its relaxed geometry at the PBE level of DFT.

The calculation puts the total magnetization at 0.0000 μB/atom. The formation energy comes out at 0.0346 eV per atom. The calculation puts the total DFT energy (no corrections) at -6.839 eV per atom.

The space group is C2/m (No. 12) and the conventional cell measures 11.367, 5.055 and 7.979 Å, with angles of 90.00, 98.33 and 90.00 degrees. Symmetry generates all atoms from Y at (0.072, 0.000, 0.221), Y at (0.144, 0.500, 0.924), Th at (0.000, 0.500, 0.500) and Th at (0.213, 0.000, 0.636).

# 5
Computed, not measured: crystalline Y5Th at its relaxed geometry at the PBE level of DFT.

The calculation puts the total magnetization at 0.0001 μB/atom. The calculation puts the energy above the most stable polymorph in this dataset at 0.00 kJ/mol of atoms. The formation energy comes out at 0.0226 eV per atom. The calculation puts the total DFT energy (no corrections) at -6.601 eV per atom.

The space group is P-3m1 (No. 164) and the conventional cell measures 3.5863, 3.5863 and 17.4284 Å, with angles of 90.00, 90.00 and 120.00 degrees. Symmetry generates all atoms from Y at (0.0000, 0.0000, 0.0000), Y at (0.3333, 0.6667, 0.1668), Y at (0.3333, 0.6667, 0.6627) and Th at (0.0000, 0.0000, 0.5000).

# 6
Computed, not measured: crystalline YTh at its relaxed geometry at the PBE level of DFT.

The calculation puts the total magnetization at 0.0000 μB/atom. The calculation puts the energy above the most stable polymorph in this dataset at 3.47 kJ/mol of atoms. The formation energy comes out at 0.0438 eV per atom. The calculation puts the total DFT energy (no corrections) at -6.898 eV per atom.

The space group is R-3m (No. 166, hexagonal axes) and the conventional cell measures 3.5653, 3.5653 and 17.4562 Å, with angles of 90.00, 90.00 and 120.00 degrees. Symmetry generates all atoms from Y at (0.0000, 0.0000, 0.0000) and Th at (0.0000, 0.0000, 0.5000).

# 7
Computed, not measured: crystalline Y5Th at its relaxed geometry at the PBE level of DFT.

The calculation puts the total magnetization at 0.0000 μB/atom. The calculation puts the energy above the most stable polymorph in this dataset at 1.57 kJ/mol of atoms. The formation energy comes out at 0.0388 eV per atom. The calculation puts the total DFT energy (no corrections) at -6.585 eV per atom.

The space group is Cmmm (No. 65) and the conventional cell measures 5.063, 15.156 and 5.070 Å, with angles of 90.00, 90.00 and 90.00 degrees. Symmetry generates all atoms from Y at (0.000, 0.000, 0.000), Y at (0.000, 0.165, 0.500), Y at (0.000, 0.337, 0.000) and Th at (0.000, 0.500, 0.500).

# 8
Computed, not measured: crystalline Y7Th at its relaxed geometry at the PBE level of DFT.

The calculation puts the total magnetization at 0.0000 μB/atom. The formation energy comes out at 0.0229 eV per atom. The calculation puts the total DFT energy (no corrections) at -6.561 eV per atom.

The space group is Fm-3m (No. 225) and the conventional cell measures 10.094, 10.094 and 10.094 Å, with angles of 90.00, 90.00 and 90.00 degrees. Symmetry generates all atoms from Y at (0.000, 0.000, 0.000), Y at (0.000, 0.250, 0.250) and Th at (0.000, 0.000, 0.500).

# 9
Computed, not measured: crystalline YTh at its relaxed geometry at the PBE level of DFT.

The calculation puts the total magnetization at 0.0000 μB/atom. The calculation puts the energy above the most stable polymorph in this dataset at 6.01 kJ/mol of atoms. The formation energy comes out at 0.0701 eV per atom. The calculation puts the total DFT energy (no corrections) at -6.872 eV per atom.

The space group is P-6m2 (No. 187) and the conventional cell measures 3.5639, 3.5639 and 5.8915 Å, with angles of 90.00, 90.00 and 120.00 degrees. Symmetry generates all atoms from Y at (0.0000, 0.0000, 0.0000) and Th at (0.3333, 0.6667, 0.5000).

# 10
Computed, not measured: crystalline Y2Th at its relaxed geometry at the PBE level of DFT.

The calculation puts the total magnetization at 0.0168 μB/atom. The calculation puts the energy above the most stable polymorph in this dataset at 37.83 kJ/mol of atoms. The formation energy comes out at 0.3790 eV per atom. The calculation puts the total DFT energy (no corrections) at -6.404 eV per atom.

The space group is Fd-3m (No. 227, origin choice 2) and the conventional cell measures 9.223, 9.223 and 9.223 Å, with angles of 90.00, 90.00 and 90.00 degrees. Symmetry generates all atoms from Y at (0.000, 0.000, 0.000) and Th at (0.125, 0.125, 0.625).

# 11
Computed, not measured: crystalline Y2Th at its relaxed geometry at the PBE level of DFT.

The calculation puts the total magnetization at 0.0000 μB/atom. The calculation puts the energy above the most stable polymorph in this dataset at 0.00 kJ/mol of atoms. The formation energy comes out at -0.0131 eV per atom. The calculation puts the total DFT energy (no corrections) at -6.796 eV per atom.

The space group is R-3m (No. 166, hexagonal axes) and the conventional cell measures 3.6079, 3.6079 and 25.7207 Å, with angles of 90.00, 90.00 and 120.00 degrees. Symmetry generates all atoms from Y at (0.0000, 0.0000, 0.2241) and Th at (0.0000, 0.0000, 0.0000).

# 12
Computed, not measured: crystalline YTh at its relaxed geometry at the PBE level of DFT.

The calculation puts the total magnetization at 0.0000 μB/atom. The calculation puts the energy above the most stable polymorph in this dataset at 4.34 kJ/mol of atoms. The formation energy comes out at 0.0528 eV per atom. The calculation puts the total DFT energy (no corrections) at -6.889 eV per atom.

The space group is C2/m (No. 12) and the conventional cell measures 13.151, 3.593 and 6.231 Å, with angles of 90.00, 117.64 and 90.00 degrees. Symmetry generates all atoms from Y at (0.125, 0.000, 0.460) and Th at (0.125, 0.500, 0.955).

# 13
Computed, not measured: crystalline YTh2 at its relaxed geometry at the PBE level of DFT.

The calculation puts the total magnetization at 0.0000 μB/atom. The calculation puts the energy above the most stable polymorph in this dataset at 2.94 kJ/mol of atoms. The formation energy comes out at 0.0544 eV per atom. The calculation puts the total DFT energy (no corrections) at -7.047 eV per atom.

The space group is Immm (No. 71) and the conventional cell measures 3.608, 4.996 and 10.756 Å, with angles of 90.00, 90.00 and 90.00 degrees. Symmetry generates all atoms from Y at (0.000, 0.000, 0.000) and Th at (0.000, 0.000, 0.330).

# 14
Computed, not measured: crystalline Y7Th2 at its relaxed geometry at the PBE level of DFT.

The calculation puts the total magnetization at 0.0000 μB/atom. The formation energy comes out at 0.0297 eV per atom. The calculation puts the total DFT energy (no corrections) at -6.647 eV per atom.

The space group is P-31m (No. 162) and the conventional cell measures 6.1999, 6.1999 and 8.7503 Å, with angles of 90.00, 90.00 and 120.00 degrees. Symmetry generates all atoms from Y at (0.0000, 0.0000, 0.0000), Y at (0.0000, 0.3367, 0.6702) and Th at (0.3333, 0.6667, 0.0000).

# 15
Computed, not measured: crystalline Y5Th6 at its relaxed geometry at the PBE level of DFT.

The calculation puts the total magnetization at 0.0000 μB/atom. The formation energy comes out at 0.2030 eV per atom. The calculation puts the total DFT energy (no corrections) at -6.782 eV per atom.

The space group is C2/m (No. 12) and the conventional cell measures 5.890, 11.042 and 11.613 Å, with angles of 90.00, 102.02 and 90.00 degrees. Symmetry generates all atoms from Y at (0.000, 0.000, 0.000), Y at (0.000, 0.327, 0.000), Y at (0.000, 0.353, 0.500), Th at (0.036, 0.158, 0.726) and Th at (0.048, 0.500, 0.766).

# 16
Computed, not measured: crystalline Y8Th3 at its relaxed geometry at the PBE level of DFT.

The calculation puts the total magnetization at 0.0000 μB/atom. The calculation puts the energy above the most stable polymorph in this dataset at 22.27 kJ/mol of atoms. The formation energy comes out at 0.7195 eV per atom. The calculation puts the total DFT energy (no corrections) at -6.005 eV per atom.

The space group is R-3 (No. 148, hexagonal axes) and the conventional cell measures 9.7732, 9.7732 and 13.7983 Å, with angles of 90.00, 90.00 and 120.00 degrees. Symmetry generates all atoms from Y at (0.0000, 0.0000, 0.1145), Y at (0.0544, 0.8185, 0.6094) and Th at (0.0000, 0.5000, 0.5000).

# 17
Computed, not measured: crystalline Y3Th at its relaxed geometry at the PBE level of DFT.

The calculation puts the total magnetization at 0.0001 μB/atom. The calculation puts the energy above the most stable polymorph in this dataset at 2.02 kJ/mol of atoms. The formation energy comes out at 0.0486 eV per atom. The calculation puts the total DFT energy (no corrections) at -6.654 eV per atom.

The space group is Pmm2 (No. 25) and the conventional cell measures 3.628, 5.785 and 6.235 Å, with angles of 90.00, 90.00 and 90.00 degrees. Symmetry generates all atoms from Y at (0.000, 0.000, 0.000), Y at (0.000, 0.500, 0.339), Y at (0.500, 0.500, 0.828) and Th at (0.500, 0.000, 0.488).

# 18
Computed, not measured: crystalline YTh3 at its relaxed geometry at the PBE level of DFT.

The calculation puts the total magnetization at 0.0000 μB/atom. The calculation puts the energy above the most stable polymorph in this dataset at 1.47 kJ/mol of atoms. The formation energy comes out at 0.0601 eV per atom. The calculation puts the total DFT energy (no corrections) at -7.121 eV per atom.

The space group is Imm2 (No. 44) and the conventional cell measures 3.557, 11.817 and 6.187 Å, with angles of 90.00, 90.00 and 90.00 degrees. Symmetry generates all atoms from Y at (0.000, 0.000, 0.000), Th at (0.000, 0.251, 0.681) and Th at (0.000, 0.500, 0.008).

# 19
Computed, not measured: crystalline YTh at its relaxed geometry at the PBE level of DFT.

The calculation puts the total magnetization at 0.0000 μB/atom. The calculation puts the energy above the most stable polymorph in this dataset at 0.00 kJ/mol of atoms. The formation energy comes out at 0.0078 eV per atom. The calculation puts the total DFT energy (no corrections) at -6.934 eV per atom.

The space group is R-3m (No. 166, hexagonal axes) and the conventional cell measures 3.5995, 3.5995 and 34.6399 Å, with angles of 90.00, 90.00 and 120.00 degrees. Symmetry generates all atoms from Y at (0.0000, 0.0000, 0.1242) and Th at (0.0000, 0.0000, 0.2924).

# 20
Computed, not measured: crystalline Y3Th at its relaxed geometry at the PBE level of DFT.

The calculation puts the total magnetization at 0.0000 μB/atom. The calculation puts the energy above the most stable polymorph in this dataset at 2.63 kJ/mol of atoms. The formation energy comes out at 0.0549 eV per atom. The calculation puts the total DFT energy (no corrections) at -6.648 eV per atom.

The space group is I4/mmm (No. 139) and the conventional cell measures 5.103, 5.103 and 9.990 Å, with angles of 90.00, 90.00 and 90.00 degrees. Symmetry generates all atoms from Y at (0.000, 0.000, 0.000), Y at (0.000, 0.500, 0.250) and Th at (0.000, 0.000, 0.500).